Entry 1:
KAl2AgTe: relaxed, PBE.

Unit cell a=4.977 b=6.124 c=4.977 alpha=90.00 beta=90.00 gamma=90.00
Fractional positions:
Te (0.000, 0.500, 0.000)
Al (0.500, 0.000, 0.000)
Ag (0.000, 0.000, 0.000)
K (0.500, 0.500, 0.500)
Al (0.000, 0.000, 0.500)

The value obtained for the formation energy from raw total energies is 0.5 eV per formula unit. Its crystal system is tetragonal. As for the space-group type: P4/mmm, No. 123. Its theoretical density is 3.6 Mg/m³. Its raw total energy is -2.81 eV/atom. The volume comes out at 151.7 Å³/cell.

---

Entry 2:
Cr4PbSe: relaxed, PBE.

Unit cell a=5.029 b=5.029 c=5.029 alpha=60.00 beta=60.00 gamma=60.00
Fractional positions:
Cr (0.371, 0.887, 0.371)
Pb (0.750, 0.750, 0.750)
Cr (0.371, 0.371, 0.887)
Se (0.000, 0.000, 0.000)
Cr (0.371, 0.371, 0.371)
Cr (0.887, 0.371, 0.371)

The value obtained for the formation energy from raw total energies is 3.9 eV per formula unit. Its crystal system is cubic. As for the space-group type: F-43m, No. 216. Its theoretical density is 9.1 Mg/m³. Its raw total energy is -6.97 eV/atom. The volume comes out at 89.9 Å³/cell.